BaSrCeNbO6, relaxed, DFT PBE; ρ = 5.74 g cm⁻³; space group = No. 216; calculated volume = 160 Å³/cell; energy above the lowest structure with this stoichiometry = 41 meV/atom; total energy = -78.500 eV for the cell shown; raw formation energy = -29.1 eV per formula unit; M_tot = 0.103 μB per atom; crystal system = cubic
1.0
0.000 4.311 4.311
4.311 0.000 4.311
4.311 4.311 0.000
Ba Sr Ce Nb O
1 1 1 1 6
Cartesian
0.000 0.000 0.000
4.311 4.311 4.311
2.155 2.155 2.155
6.466 6.466 6.466
6.466 6.466 4.429
6.466 4.429 6.466
8.503 6.466 6.466
4.429 6.466 6.466
6.466 8.503 6.466
6.466 6.466 8.503